Below is a geometry-optimized SbTe2HCl structure, with properties calculated at the PBE level.

Geometry as CIF:
```
data_SbTe2HCl
_space_group_name_H-M_alt 'P 4/m m m'
_space_group_IT_number 123
_space_group_name_Hall '-P 4 2'
_cell_length_a 5.607
_cell_length_b 5.607
_cell_length_c 5.318
_cell_angle_alpha 90.00
_cell_angle_beta 90.00
_cell_angle_gamma 90.00
loop_
_atom_site_label
_atom_site_type_symbol
_atom_site_fract_x
_atom_site_fract_y
_atom_site_fract_z
_atom_site_occupancy
Sb1 Sb 0.000 0.000 0.000 1
Te1 Te 0.000 0.500 0.500 1
H1 H 0.500 0.500 0.000 1
Cl1 Cl 0.000 0.000 0.500 1
```

Results
Total moment ... 1.4 μB per cell
Calculated volume ... 33.4 Å³/atom
Offset from the most stable computed form ... 825 meV/atom

=====

Below is a geometry-optimized CoSbOs2C structure, with properties calculated at the PBE level.

Geometry as CIF:
```
data_CoSbOs2C
_space_group_name_H-M_alt 'P 4/m m m'
_space_group_IT_number 123
_space_group_name_Hall '-P 4 2'
_cell_length_a 3.971
_cell_length_b 3.971
_cell_length_c 4.776
_cell_angle_alpha 90.00
_cell_angle_beta 90.00
_cell_angle_gamma 90.00
loop_
_atom_site_label
_atom_site_type_symbol
_atom_site_fract_x
_atom_site_fract_y
_atom_site_fract_z
_atom_site_occupancy
Co1 Co 0.000 0.000 0.000 1
Sb1 Sb 0.500 0.500 0.000 1
Os1 Os 0.000 0.500 0.500 1
C1 C 0.500 0.500 0.500 1
```

Results
Raw formation energy ... 0.99 eV per atom
Total moment ... 1.7 μB per cell
Calculated volume ... 15.1 Å³/atom

=====

Below is a geometry-optimized Ba3MnAu2S6 structure, with properties calculated at the PBE level.

Geometry as CIF:
```
data_Ba3MnAu2S6
_space_group_name_H-M_alt 'P -3 m 1'
_space_group_IT_number 164
_space_group_name_Hall '-P 3 2"'
_cell_length_a 7.1093
_cell_length_b 7.1093
_cell_length_c 7.6597
_cell_angle_alpha 90.00
_cell_angle_beta 90.00
_cell_angle_gamma 120.00
loop_
_atom_site_label
_atom_site_type_symbol
_atom_site_fract_x
_atom_site_fract_y
_atom_site_fract_z
_atom_site_occupancy
Ba1 Ba 0.0000 0.0000 0.0000 1
Ba2 Ba 0.3333 0.6667 0.6337 1
Mn1 Mn 0.0000 0.0000 0.5000 1
Au1 Au 0.3333 0.6667 0.1607 1
S1 S 0.1600 0.3201 0.3153 1
```

Results
Raw formation energy ... -0.91 eV per atom
Total moment ... 3.4 μB per cell
Calculated volume ... 27.9 Å³/atom

=====

Below is a geometry-optimized NdHo8Mg2 structure, with properties calculated at the PBE level.

Geometry as CIF:
```
data_NdHo8Mg2
_space_group_name_H-M_alt 'C 1 2/m 1'
_space_group_IT_number 12
_space_group_name_Hall '-C 2y'
_cell_length_a 8.699
_cell_length_b 15.395
_cell_length_c 5.651
_cell_angle_alpha 90.00
_cell_angle_beta 115.35
_cell_angle_gamma 90.00
loop_
_atom_site_label
_atom_site_type_symbol
_atom_site_fract_x
_atom_site_fract_y
_atom_site_fract_z
_atom_site_occupancy
Nd1 Nd 0.000 0.000 0.000 1
Ho1 Ho 0.000 0.215 0.000 1
Ho2 Ho 0.091 0.500 0.796 1
Ho3 Ho 0.209 0.112 0.631 1
Mg1 Mg 0.000 0.307 0.500 1
```

Results
Total moment ... 0.0 μB per cell
Calculated volume ... 31.1 Å³/atom
ΔH_f (0 K) ... 0.15 eV/atom

=====

Below is a geometry-optimized Tb12Ho7Tl structure, with properties calculated at the PBE level.

Geometry as CIF:
```
data_Tb12Ho7Tl
_space_group_name_H-M_alt 'R -3'
_space_group_IT_number 148
_space_group_name_Hall '-R 3'
_cell_length_a 11.9783
_cell_length_b 11.9783
_cell_length_c 15.4732
_cell_angle_alpha 90.00
_cell_angle_beta 90.00
_cell_angle_gamma 120.00
loop_
_atom_site_label
_atom_site_type_symbol
_atom_site_fract_x
_atom_site_fract_y
_atom_site_fract_z
_atom_site_occupancy
Tb1 Tb 0.0322 0.4547 0.2130 1
Tb2 Tb 0.0556 0.5860 0.5853 1
Ho1 Ho 0.0000 0.0000 0.0000 1
Ho2 Ho 0.0536 0.1878 0.2991 1
Tl1 Tl 0.0000 0.0000 0.5000 1
```

Results
Total moment ... 0.0 μB per cell
Calculated volume ... 32.0 Å³/atom
ΔH_f (0 K) ... 0.18 eV/atom

=====

Below is a geometry-optimized SmPuZn2Ge2 structure, with properties calculated at the PBE level.

Geometry as CIF:
```
data_SmPuZn2Ge2
_space_group_name_H-M_alt 'P -3 m 1'
_space_group_IT_number 164
_space_group_name_Hall '-P 3 2"'
_cell_length_a 4.2523
_cell_length_b 4.2523
_cell_length_c 8.1582
_cell_angle_alpha 90.00
_cell_angle_beta 90.00
_cell_angle_gamma 120.00
loop_
_atom_site_label
_atom_site_type_symbol
_atom_site_fract_x
_atom_site_fract_y
_atom_site_fract_z
_atom_site_occupancy
Sm1 Sm 0.0000 0.0000 0.0000 1
Pu1 Pu 0.0000 0.0000 0.5000 1
Zn1 Zn 0.3333 0.6667 0.2485 1
Ge1 Ge 0.3333 0.6667 0.7458 1
```

Results
Total moment ... 6.1 μB per cell
Calculated volume ... 21.3 Å³/atom
ΔH_f (0 K) ... -0.48 eV/atom

=====

Below is a geometry-optimized YCoPb2Br structure, with properties calculated at the PBE level.

Geometry as CIF:
```
data_YCoPb2Br
_space_group_name_H-M_alt 'P 4/m m m'
_space_group_IT_number 123
_space_group_name_Hall '-P 4 2'
_cell_length_a 5.872
_cell_length_b 5.872
_cell_length_c 4.269
_cell_angle_alpha 90.00
_cell_angle_beta 90.00
_cell_angle_gamma 90.00
loop_
_atom_site_label
_atom_site_type_symbol
_atom_site_fract_x
_atom_site_fract_y
_atom_site_fract_z
_atom_site_occupancy
Y1 Y 0.000 0.000 0.000 1
Co1 Co 0.500 0.500 0.000 1
Pb1 Pb 0.000 0.500 0.500 1
Br1 Br 0.500 0.500 0.500 1
```

Results
Raw formation energy ... 0.48 eV per atom
Total moment ... 1.4 μB per cell
Calculated volume ... 29.4 Å³/atom

=====

Below is a geometry-optimized Er4Sn2Ru structure, with properties calculated at the PBE level.

Geometry as CIF:
```
data_Er4Sn2Ru
_space_group_name_H-M_alt 'C 1 2/m 1'
_space_group_IT_number 12
_space_group_name_Hall '-C 2y'
_cell_length_a 11.102
_cell_length_b 4.664
_cell_length_c 8.626
_cell_angle_alpha 90.00
_cell_angle_beta 125.27
_cell_angle_gamma 90.00
loop_
_atom_site_label
_atom_site_type_symbol
_atom_site_fract_x
_atom_site_fract_y
_atom_site_fract_z
_atom_site_occupancy
Er1 Er 0.067 0.000 0.358 1
Er2 Er 0.167 0.500 0.052 1
Sn1 Sn 0.167 0.500 0.678 1
Ru1 Ru 0.000 0.000 0.000 1
```

Results
Total moment ... 0.0 μB per cell
Calculated volume ... 26.0 Å³/atom
ΔH_f (0 K) ... -0.58 eV/atom

=====

Q: Look up the total moment of the first one.
A: 1.4 μB per cell